one.
# HfOsN2

HfOsN2 after structural relaxation (GGA-PBE, Alexandria via LeMat-Bulk).

Geometry as CIF:
```
data_HfOsN2
_space_group_name_H-M_alt 'P 1'
_space_group_IT_number 1
_cell_length_a 5.689
_cell_length_b 5.689
_cell_length_c 5.689
_cell_angle_alpha 35.05
_cell_angle_beta 35.05
_cell_angle_gamma 35.05
loop_
_space_group_symop_operation_xyz
'x,y,z'
loop_
_atom_site_label
_atom_site_fract_x
_atom_site_fract_y
_atom_site_fract_z
N1 0.128 0.128 0.128
Hf1 0.000 0.000 0.000
Os1 0.500 0.500 0.500
N2 0.872 0.872 0.872
```

Its symmetry is R-3m (166).

two.
# HfOsN2

HfOsN2 after structural relaxation (GGA-PBE, Alexandria via LeMat-Bulk).

Geometry as CIF:
```
data_HfOsN2
_space_group_name_H-M_alt 'P 1'
_space_group_IT_number 1
_cell_length_a 6.407
_cell_length_b 6.407
_cell_length_c 6.407
_cell_angle_alpha 28.71
_cell_angle_beta 28.71
_cell_angle_gamma 28.71
loop_
_space_group_symop_operation_xyz
'x,y,z'
loop_
_atom_site_label
_atom_site_fract_x
_atom_site_fract_y
_atom_site_fract_z
Os1 0.000 0.000 0.000
N1 0.105 0.105 0.105
N2 0.895 0.895 0.895
Hf1 0.500 0.500 0.500
```

Its symmetry is R-3m (166).

three.
# HfOsN2

HfOsN2 after structural relaxation (GGA-PBE, Alexandria via LeMat-Bulk).

Geometry as CIF:
```
data_HfOsN2
_space_group_name_H-M_alt 'P 1'
_space_group_IT_number 1
_cell_length_a 4.428
_cell_length_b 4.428
_cell_length_c 6.226
_cell_angle_alpha 69.17
_cell_angle_beta 69.17
_cell_angle_gamma 90.00
loop_
_space_group_symop_operation_xyz
'x,y,z'
loop_
_atom_site_label
_atom_site_fract_x
_atom_site_fract_y
_atom_site_fract_z
Os1 0.750 0.250 0.500
Hf1 0.250 0.750 0.500
Hf2 0.500 0.500 0.000
N1 0.650 0.125 0.250
N2 0.100 0.625 0.250
N3 0.375 0.350 0.750
Os2 0.000 0.000 0.000
N4 0.875 0.900 0.750
```

Its symmetry is I-42d (122).

four.
# HfOsN2

HfOsN2 after structural relaxation (GGA-PBE, Alexandria via LeMat-Bulk).

Geometry as CIF:
```
data_HfOsN2
_space_group_name_H-M_alt 'P 1'
_space_group_IT_number 1
_cell_length_a 3.934
_cell_length_b 3.934
_cell_length_c 3.934
_cell_angle_alpha 60.00
_cell_angle_beta 60.00
_cell_angle_gamma 60.00
loop_
_space_group_symop_operation_xyz
'x,y,z'
loop_
_atom_site_label
_atom_site_fract_x
_atom_site_fract_y
_atom_site_fract_z
Hf1 0.000 0.000 0.000
N1 0.250 0.250 0.250
Os1 0.500 0.500 0.500
N2 0.750 0.750 0.750
```

Its symmetry is Fm-3m (225).

Stability summary - winner: three; margin: 0.045 eV/atom.

one.
# HfTeOsN2

HfTeOsN2 after structural relaxation (GGA-PBE, Alexandria via LeMat-Bulk).

Geometry as CIF:
```
data_HfTeOsN2
_space_group_name_H-M_alt 'P 1'
_space_group_IT_number 1
_cell_length_a 3.923
_cell_length_b 3.923
_cell_length_c 5.565
_cell_angle_alpha 90.00
_cell_angle_beta 90.00
_cell_angle_gamma 90.00
loop_
_space_group_symop_operation_xyz
'x,y,z'
loop_
_atom_site_label
_atom_site_fract_x
_atom_site_fract_y
_atom_site_fract_z
N1 0.000 0.500 0.000
N2 0.500 0.000 0.000
Te1 0.000 0.000 0.500
Os1 0.000 0.000 0.000
Hf1 0.500 0.500 0.500
```

Its symmetry is P4/mmm (123).

two.
# HfTeOsN2

HfTeOsN2 after structural relaxation (GGA-PBE, Alexandria via LeMat-Bulk).

Geometry as CIF:
```
data_HfTeOsN2
_space_group_name_H-M_alt 'P 1'
_space_group_IT_number 1
_cell_length_a 4.062
_cell_length_b 4.062
_cell_length_c 6.023
_cell_angle_alpha 90.00
_cell_angle_beta 90.00
_cell_angle_gamma 90.00
loop_
_space_group_symop_operation_xyz
'x,y,z'
loop_
_atom_site_label
_atom_site_fract_x
_atom_site_fract_y
_atom_site_fract_z
Te1 0.000 0.000 0.500
Os1 0.500 0.500 0.500
N1 0.500 0.000 0.000
N2 0.000 0.500 0.000
Hf1 0.000 0.000 0.000
```

Its symmetry is P4/mmm (123).

Stability summary - winner: one; margin: 0.347 eV/atom.

one.
# HfTe2OsN

HfTe2OsN after structural relaxation (GGA-PBE, Alexandria via LeMat-Bulk).

Geometry as CIF:
```
data_HfTe2OsN
_space_group_name_H-M_alt 'P 1'
_space_group_IT_number 1
_cell_length_a 5.590
_cell_length_b 5.590
_cell_length_c 3.878
_cell_angle_alpha 90.00
_cell_angle_beta 90.00
_cell_angle_gamma 90.00
loop_
_space_group_symop_operation_xyz
'x,y,z'
loop_
_atom_site_label
_atom_site_fract_x
_atom_site_fract_y
_atom_site_fract_z
Te1 0.000 0.500 0.000
Hf1 0.000 0.000 0.000
N1 0.000 0.000 0.500
Te2 0.500 0.000 0.000
Os1 0.500 0.500 0.500
```

Its symmetry is P4/mmm (123).

two.
# HfTe2OsN

HfTe2OsN after structural relaxation (GGA-PBE, Alexandria via LeMat-Bulk).

Geometry as CIF:
```
data_HfTe2OsN
_space_group_name_H-M_alt 'P 1'
_space_group_IT_number 1
_cell_length_a 5.427
_cell_length_b 5.427
_cell_length_c 3.686
_cell_angle_alpha 90.00
_cell_angle_beta 90.00
_cell_angle_gamma 90.00
loop_
_space_group_symop_operation_xyz
'x,y,z'
loop_
_atom_site_label
_atom_site_fract_x
_atom_site_fract_y
_atom_site_fract_z
Os1 0.000 0.000 0.000
N1 0.000 0.000 0.500
Hf1 0.500 0.500 0.500
Te1 0.500 0.000 0.000
Te2 0.000 0.500 0.000
```

Its symmetry is P4/mmm (123).

Stability summary - winner: two; margin: 0.669 eV/atom.

one.
# Hf4PN2

Hf4PN2 after structural relaxation (GGA-PBE, Alexandria via LeMat-Bulk).

Geometry as CIF:
```
data_Hf4PN2
_space_group_name_H-M_alt 'P 1'
_space_group_IT_number 1
_cell_length_a 4.702
_cell_length_b 4.702
_cell_length_c 6.724
_cell_angle_alpha 69.53
_cell_angle_beta 69.53
_cell_angle_gamma 90.00
loop_
_space_group_symop_operation_xyz
'x,y,z'
loop_
_atom_site_label
_atom_site_fract_x
_atom_site_fract_y
_atom_site_fract_z
Hf1 0.500 0.000 0.000
Hf2 0.760 0.760 0.479
N1 0.403 0.403 0.194
Hf3 0.000 0.500 0.000
Hf4 0.240 0.240 0.521
P1 0.000 0.000 0.000
N2 0.597 0.597 0.806
```

Its symmetry is I4/mmm (139).

two.
# Hf4PN2

Hf4PN2 after structural relaxation (GGA-PBE, Alexandria via LeMat-Bulk).

Geometry as CIF:
```
data_Hf4PN2
_space_group_name_H-M_alt 'P 1'
_space_group_IT_number 1
_cell_length_a 3.336
_cell_length_b 5.639
_cell_length_c 11.311
_cell_angle_alpha 90.00
_cell_angle_beta 90.00
_cell_angle_gamma 107.20
loop_
_space_group_symop_operation_xyz
'x,y,z'
loop_
_atom_site_label
_atom_site_fract_x
_atom_site_fract_y
_atom_site_fract_z
Hf1 0.500 0.000 0.000
Hf2 0.228 0.456 0.611
P1 0.392 0.784 0.250
Hf3 0.772 0.544 0.389
Hf4 0.927 0.854 0.750
N1 0.864 0.728 0.563
N2 0.864 0.728 0.937
P2 0.608 0.216 0.750
Hf5 0.073 0.146 0.250
Hf6 0.500 0.000 0.500
Hf7 0.772 0.544 0.111
Hf8 0.228 0.456 0.889
N3 0.136 0.272 0.063
N4 0.136 0.272 0.437
```

Its symmetry is Cmcm (63).

Stability summary - winner: two; margin: 1.212 eV/atom.

one.
# Hf6P2N

Hf6P2N after structural relaxation (GGA-PBE, Alexandria via LeMat-Bulk).

Geometry as CIF:
```
data_Hf6P2N
_space_group_name_H-M_alt 'P 1'
_space_group_IT_number 1
_cell_length_a 3.438
_cell_length_b 5.664
_cell_length_c 8.329
_cell_angle_alpha 90.93
_cell_angle_beta 90.00
_cell_angle_gamma 107.66
loop_
_space_group_symop_operation_xyz
'x,y,z'
loop_
_atom_site_label
_atom_site_fract_x
_atom_site_fract_y
_atom_site_fract_z
Hf1 0.865 0.730 0.450
Hf2 0.440 0.881 0.754
Hf3 0.140 0.281 0.943
Hf4 0.135 0.270 0.550
P1 0.751 0.501 0.749
P2 0.249 0.499 0.251
N1 0.500 0.000 0.500
Hf5 0.560 0.119 0.246
Hf6 0.860 0.719 0.057
```

Its symmetry is C2/m (12).

two.
# Hf6P2N

Hf6P2N after structural relaxation (GGA-PBE, Alexandria via LeMat-Bulk).

Geometry as CIF:
```
data_Hf6P2N
_space_group_name_H-M_alt 'P 1'
_space_group_IT_number 1
_cell_length_a 5.768
_cell_length_b 6.540
_cell_length_c 8.304
_cell_angle_alpha 90.00
_cell_angle_beta 90.66
_cell_angle_gamma 90.00
loop_
_space_group_symop_operation_xyz
'x,y,z'
loop_
_atom_site_label
_atom_site_fract_x
_atom_site_fract_y
_atom_site_fract_z
Hf1 0.344 0.822 0.448
Hf2 0.357 0.523 0.749
N1 0.500 0.500 0.000
Hf3 0.855 0.691 0.554
Hf4 0.355 0.809 0.054
P1 0.937 0.378 0.753
Hf5 0.656 0.178 0.552
Hf6 0.844 0.678 0.948
P2 0.063 0.622 0.247
Hf7 0.857 0.977 0.249
Hf8 0.645 0.191 0.946
P3 0.563 0.878 0.747
P4 0.437 0.122 0.253
Hf9 0.145 0.309 0.446
Hf10 0.156 0.322 0.052
N2 0.000 0.000 0.500
Hf11 0.643 0.477 0.251
Hf12 0.143 0.023 0.751
```

Its symmetry is P2_1/c (14).

Stability summary - winner: one; margin: 0.021 eV/atom.

one.
# HfP3N

HfP3N after structural relaxation (GGA-PBE, Alexandria via LeMat-Bulk).

Geometry as CIF:
```
data_HfP3N
_space_group_name_H-M_alt 'P 1'
_space_group_IT_number 1
_cell_length_a 4.988
_cell_length_b 4.988
_cell_length_c 4.988
_cell_angle_alpha 90.00
_cell_angle_beta 90.00
_cell_angle_gamma 90.00
loop_
_space_group_symop_operation_xyz
'x,y,z'
loop_
_atom_site_label
_atom_site_fract_x
_atom_site_fract_y
_atom_site_fract_z
P1 0.500 0.000 0.000
N1 0.500 0.500 0.500
P2 0.000 0.500 0.000
Hf1 0.000 0.000 0.000
P3 0.000 0.000 0.500
```

Its symmetry is Pm-3m (221).

two.
# HfP3N

HfP3N after structural relaxation (GGA-PBE, Alexandria via LeMat-Bulk).

Geometry as CIF:
```
data_HfP3N
_space_group_name_H-M_alt 'P 1'
_space_group_IT_number 1
_cell_length_a 4.085
_cell_length_b 4.085
_cell_length_c 4.085
_cell_angle_alpha 90.00
_cell_angle_beta 90.00
_cell_angle_gamma 90.00
loop_
_space_group_symop_operation_xyz
'x,y,z'
loop_
_atom_site_label
_atom_site_fract_x
_atom_site_fract_y
_atom_site_fract_z
N1 0.000 0.000 0.000
Hf1 0.500 0.500 0.500
P1 0.500 0.000 0.000
P2 0.000 0.000 0.500
P3 0.000 0.500 0.000
```

Its symmetry is Pm-3m (221).

Stability summary - winner: two; margin: 1.155 eV/atom.